[1]
Computed, not measured: a crystal of ZnInSe3 relaxed with PBEsol at the meta-GGA SCAN level of DFT.

Values from the calculation:
Space group: Pm-3m, No. 221
Polymorph energy (0 for the lowest one): 0.348 eV per atom
Electronic total energy: -20.88 eV per atom
Energy relative to the elements, uncorrected: 551 meV/atom

Cell lengths 5.187, 5.187, 5.187 Å; angles 90.00, 90.00, 90.00 degrees
Fractional positions:
1 Se 0.500 0.000 0.000
2 Se 0.000 0.500 0.000
3 Se 0.000 0.000 0.500
4 In 0.000 0.000 0.000
5 Zn 0.500 0.500 0.500

[2]
Computed, not measured: a crystal of ZnInSe3 relaxed with PBEsol at the meta-GGA SCAN level of DFT.

Values from the calculation:
Space group: Pm-3m, No. 221
Polymorph energy (0 for the lowest one): 0.000 eV per atom
Electronic total energy: -21.22 eV per atom
Energy relative to the elements, uncorrected: 203 meV/atom

Cell lengths 4.892, 4.892, 4.892 Å; angles 90.00, 90.00, 90.00 degrees
Fractional positions:
1 In 0.500 0.500 0.500
2 Zn 0.000 0.000 0.000
3 Se 0.000 0.000 0.500
4 Se 0.500 0.000 0.000
5 Se 0.000 0.500 0.000

[3]
Computed, not measured: a crystal of Zr2InSe relaxed with PBEsol at the meta-GGA SCAN level of DFT.

Values from the calculation:
Space group: P4/mmm, No. 123
Polymorph energy (0 for the lowest one): 0.000 eV per atom
Electronic total energy: -29.53 eV per atom
Energy relative to the elements, uncorrected: -816 meV/atom

Cell lengths 3.229, 3.229, 7.625 Å; angles 90.00, 90.00, 90.00 degrees
Fractional positions:
1 Se 0.500 0.500 0.500
2 Zr 0.000 0.000 0.717
3 Zr 0.000 0.000 0.283
4 In 0.500 0.500 0.000

[4]
Computed, not measured: a crystal of Zr2InSe relaxed with PBEsol at the meta-GGA SCAN level of DFT.

Values from the calculation:
Space group: P4mm, No. 99
Polymorph energy (0 for the lowest one): 0.126 eV per atom
Electronic total energy: -29.41 eV per atom
Energy relative to the elements, uncorrected: -691 meV/atom

Cell lengths 3.540, 3.540, 7.245 Å; angles 90.00, 90.00, 90.00 degrees
Fractional positions:
1 Se 0.500 0.500 0.834
2 In 0.000 0.000 0.465
3 Zr 0.000 0.000 0.969
4 Zr 0.500 0.500 0.232

[5]
Computed, not measured: a crystal of ZrInSe3 relaxed with PBEsol at the meta-GGA SCAN level of DFT.

Values from the calculation:
Space group: Pm-3m, No. 221
Electronic total energy: -24.68 eV per atom
Energy relative to the elements, uncorrected: 180 meV/atom

Cell lengths 5.069, 5.069, 5.069 Å; angles 90.00, 90.00, 90.00 degrees
Fractional positions:
1 Zr 0.500 0.500 0.500
2 Se 0.500 0.000 0.000
3 Se 0.000 0.000 0.500
4 Se 0.000 0.500 0.000
5 In 0.000 0.000 0.000

[6]
Computed, not measured: a crystal of In3Si relaxed with PBEsol at the meta-GGA SCAN level of DFT.

Values from the calculation:
Space group: R-3m, No. 166
Electronic total energy: -27.19 eV per atom
Energy relative to the elements, uncorrected: 357 meV/atom

Cell lengths 3.229, 3.229, 10.385 Å; angles 81.06, 81.06, 60.00 degrees
Fractional positions:
1 In 0.742 0.742 0.774
2 In 0.500 0.500 0.500
3 In 0.258 0.258 0.226
4 Si 0.000 0.000 0.000

[7]
Computed, not measured: a crystal of In2Si relaxed with PBEsol at the meta-GGA SCAN level of DFT.

Values from the calculation:
Space group: P4/mmm, No. 123
Electronic total energy: -25.22 eV per atom
Energy relative to the elements, uncorrected: 381 meV/atom

Cell lengths 3.860, 4.291, 4.291 Å; angles 90.00, 90.00, 90.00 degrees
Fractional positions:
1 In 0.500 0.000 0.500
2 In 0.500 0.500 0.000
3 Si 0.000 0.000 0.000

[8]
Computed, not measured: a crystal of InSi5 relaxed with PBEsol at the meta-GGA SCAN level of DFT.

Values from the calculation:
Space group: P6/mmm, No. 191
Electronic total energy: -13.25 eV per atom
Energy relative to the elements, uncorrected: 661 meV/atom

Cell lengths 4.449, 5.120, 5.120 Å; angles 120.00, 90.00, 90.00 degrees
Fractional positions:
1 Si 0.500 0.500 0.500
2 Si 0.000 0.333 0.667
3 Si 0.500 0.500 0.000
4 Si 0.500 0.000 0.500
5 Si 0.000 0.667 0.333
6 In 0.000 0.000 0.000